Entry 1:
Density functional theory data (PBE) for a geometry-optimized YW2Br structure.

Properties
**E_tot**: -62.7 eV/cell
**Space group**: Imm2, No. 44
**ΔE_f (raw)**: 0.672 eV per atom
**Excess energy over the best structure of this formula in the dataset**: 0.588 eV per atom

a = 3.4547 Å, b = 5.4304 Å, c = 9.1676 Å
α = 90.00°, β = 90.00°, γ = 90.00°
Atoms (fractional coordinates):
1 Y 0.0000 0.0000 0.0000
2 Y 0.5000 0.5000 0.5000
3 W 0.0000 0.0000 0.5008
4 W 0.0000 0.5000 0.1945
5 W 0.5000 0.0000 0.6945
6 W 0.5000 0.5000 0.0008
7 Br 0.0000 0.5000 0.7676
8 Br 0.5000 0.0000 0.2676

=====

Entry 2:
Density functional theory data (PBE) for a geometry-optimized YWBr3 structure.

Properties
**E_tot**: -23.5 eV/cell
**Space group**: Pm-3m, No. 221
**ΔE_f (raw)**: 0.177 eV per atom
**Excess energy over the best structure of this formula in the dataset**: 0.000 eV per atom

a = 5.5927 Å, b = 5.5927 Å, c = 5.5927 Å
α = 90.00°, β = 90.00°, γ = 90.00°
Atoms (fractional coordinates):
1 Y 0.0000 0.0000 0.0000
2 W 0.5000 0.5000 0.5000
3 Br 0.0000 0.0000 0.5000
4 Br 0.0000 0.5000 0.0000
5 Br 0.5000 0.0000 0.0000

=====

Entry 3:
Density functional theory data (PBE) for a geometry-optimized YWBr2 structure.

Properties
**E_tot**: -21.6 eV/cell
**Space group**: Pmmm, No. 47
**ΔE_f (raw)**: 0.296 eV per atom
**Excess energy over the best structure of this formula in the dataset**: 0.434 eV per atom

a = 3.2284 Å, b = 4.7097 Å, c = 6.0351 Å
α = 90.00°, β = 90.00°, γ = 90.00°
Atoms (fractional coordinates):
1 Y 0.0000 0.0000 0.0000
2 W 0.5000 0.0000 0.5000
3 Br 0.0000 0.5000 0.5000
4 Br 0.5000 0.5000 0.0000

=====

Entry 4:
Density functional theory data (PBE) for a geometry-optimized Y4WBr structure.

Properties
**E_tot**: -34.8 eV/cell
**Space group**: F-43m, No. 216
**ΔE_f (raw)**: 0.945 eV per atom

a = 6.1972 Å, b = 6.1972 Å, c = 6.1972 Å
α = 60.00°, β = 60.00°, γ = 60.00°
Atoms (fractional coordinates):
1 Y 0.3781 0.3781 0.3781
2 Y 0.3781 0.3781 0.8656
3 Y 0.3781 0.8656 0.3781
4 Y 0.8656 0.3781 0.3781
5 W 0.7500 0.7500 0.7500
6 Br 0.0000 0.0000 0.0000

=====

Entry 5:
Density functional theory data (PBE) for a geometry-optimized YW2Br structure.

Properties
**E_tot**: -64.2 eV/cell
**Space group**: C2/m, No. 12
**ΔE_f (raw)**: 0.482 eV per atom
**Excess energy over the best structure of this formula in the dataset**: 0.398 eV per atom

a = 12.0440 Å, b = 3.3359 Å, c = 4.3931 Å
α = 90.00°, β = 106.39°, γ = 90.00°
Atoms (fractional coordinates):
1 Y 0.0000 0.0000 0.0000
2 Y 0.5000 0.5000 0.0000
3 W 0.2286 0.5000 0.7765
4 W 0.2714 0.0000 0.2235
5 W 0.7286 0.0000 0.7765
6 W 0.7714 0.5000 0.2235
7 Br 0.0000 0.5000 0.5000
8 Br 0.5000 0.0000 0.5000

=====

Entry 6:
Density functional theory data (PBE) for a geometry-optimized YWBr2 structure.

Properties
**E_tot**: -41.9 eV/cell
**Space group**: Cmmm, No. 65
**ΔE_f (raw)**: 0.455 eV per atom
**Excess energy over the best structure of this formula in the dataset**: 0.593 eV per atom

a = 3.2074 Å, b = 6.0671 Å, c = 9.3329 Å
α = 90.00°, β = 90.00°, γ = 90.00°
Atoms (fractional coordinates):
1 Y 0.0000 0.0000 0.0000
2 Y 0.5000 0.5000 0.0000
3 W 0.0000 0.0000 0.5000
4 W 0.5000 0.5000 0.5000
5 Br 0.0000 0.5000 0.2737
6 Br 0.0000 0.5000 0.7263
7 Br 0.5000 0.0000 0.2737
8 Br 0.5000 0.0000 0.7263

=====

Entry 7:
Density functional theory data (PBE) for a geometry-optimized YW2Br structure.

Properties
**E_tot**: -60.7 eV/cell
**Space group**: I-4m2, No. 119
**ΔE_f (raw)**: 0.926 eV per atom
**Excess energy over the best structure of this formula in the dataset**: 0.842 eV per atom

a = 4.5670 Å, b = 4.5670 Å, c = 7.5412 Å
α = 90.00°, β = 90.00°, γ = 90.00°
Atoms (fractional coordinates):
1 Y 0.0000 0.0000 0.0000
2 Y 0.5000 0.5000 0.5000
3 W 0.0000 0.0000 0.5000
4 W 0.0000 0.5000 0.2500
5 W 0.5000 0.0000 0.7500
6 W 0.5000 0.5000 0.0000
7 Br 0.0000 0.5000 0.7500
8 Br 0.5000 0.0000 0.2500

=====

Entry 8:
Density functional theory data (PBE) for a geometry-optimized YWBr structure.

Properties
**E_tot**: -78.9 eV/cell
**Space group**: Fmm2, No. 42
**ΔE_f (raw)**: 0.459 eV per atom
**Excess energy over the best structure of this formula in the dataset**: 0.001 eV per atom

a = 4.0226 Å, b = 4.8385 Å, c = 15.6870 Å
α = 90.00°, β = 90.00°, γ = 90.00°
Atoms (fractional coordinates):
1 Y 0.0000 0.0000 0.0000
2 Y 0.0000 0.5000 0.5000
3 Y 0.5000 0.0000 0.5000
4 Y 0.5000 0.5000 0.0000
5 W 0.0000 0.0000 0.3616
6 W 0.0000 0.5000 0.8616
7 W 0.5000 0.0000 0.8616
8 W 0.5000 0.5000 0.3616
9 Br 0.0000 0.0000 0.6311
10 Br 0.0000 0.5000 0.1311
11 Br 0.5000 0.0000 0.1311
12 Br 0.5000 0.5000 0.6311